No. 1
# YCrMo

An optimized crystal structure of YCrMo (PBE-GGA, Alexandria).

Output
E_form ... 1.519 eV/atom
SG ... F-43m
Density ... 5.35 g/cm³
Calculated volume ... 74 Å³/cell
Energy above the most stable polymorph in this dataset ... 1.192 eV/atom

Cell: 4.703 4.703 4.703 Å, 60.00 60.00 60.00°
Fractional coordinates of all 3 atoms:
Mo 0.500 0.500 0.500
Y 0.750 0.750 0.750
Cr 0.000 0.000 0.000



No. 2
# YCrMo2

An optimized crystal structure of YCrMo2 (PBE-GGA, Alexandria).

Output
E_form ... 0.595 eV/atom
SG ... P4/mmm
Density ... 7.54 g/cm³
Calculated volume ... 73 Å³/cell
Energy above the most stable polymorph in this dataset ... 0.280 eV/atom

Cell: 4.846 3.888 3.888 Å, 90.00 90.00 90.00°
Fractional coordinates of all 4 atoms:
Cr 0.500 0.000 0.500
Y 0.500 0.500 0.000
Mo 0.000 0.500 0.500
Mo 0.000 0.000 0.000



No. 3
# YCr3Mo

An optimized crystal structure of YCr3Mo (PBE-GGA, Alexandria).

Output
E_form ... 0.917 eV/atom
SG ... Pm-3m
Density ... 5.57 g/cm³
Calculated volume ... 102 Å³/cell
Energy above the most stable polymorph in this dataset ... 0.000 eV/atom

Cell: 4.666 4.666 4.666 Å, 90.00 90.00 90.00°
Fractional coordinates of all 5 atoms:
Cr 0.000 0.000 0.500
Cr 0.500 0.000 0.000
Cr 0.000 0.500 0.000
Mo 0.000 0.000 0.000
Y 0.500 0.500 0.500



No. 4
# YCrMo2

An optimized crystal structure of YCrMo2 (PBE-GGA, Alexandria).

Output
E_form ... 0.612 eV/atom
SG ... R3m
Density ... 7.65 g/cm³
Calculated volume ... 72 Å³/cell
Energy above the most stable polymorph in this dataset ... 0.296 eV/atom

Cell: 8.948 8.948 8.948 Å, 19.85 19.85 19.85°
Fractional coordinates of all 4 atoms:
Y 0.498 0.498 0.498
Mo 0.261 0.261 0.261
Mo 0.003 0.003 0.003
Cr 0.738 0.738 0.738



No. 5
# YCrMo2

An optimized crystal structure of YCrMo2 (PBE-GGA, Alexandria).

Output
E_form ... 0.571 eV/atom
SG ... C2/m
Density ... 7.98 g/cm³
Calculated volume ... 69 Å³/cell
Energy above the most stable polymorph in this dataset ... 0.256 eV/atom

Cell: 5.300 5.390 2.877 Å, 80.11 78.85 116.11°
Fractional coordinates of all 4 atoms:
Mo 0.500 0.000 0.500
Mo 0.000 0.000 0.000
Cr 0.500 0.500 0.000
Y 0.000 0.500 0.500



No. 6
# YCrMo2

An optimized crystal structure of YCrMo2 (PBE-GGA, Alexandria).

Output
E_form ... 0.422 eV/atom
SG ... Cmmm
Density ... 8.03 g/cm³
Calculated volume ... 69 Å³/cell
Energy above the most stable polymorph in this dataset ... 0.107 eV/atom

Cell: 2.849 2.849 9.064 Å, 90.00 90.00 110.67°
Fractional coordinates of all 4 atoms:
Mo 0.000 0.000 0.960
Mo 0.000 0.000 0.540
Cr 0.500 0.500 0.750
Y 0.500 0.500 0.250